1.
Computed, not measured: crystalline NaEuGaAu at its relaxed geometry at the PBE level of DFT.

Calculated values
Magnetic moment: 7.076 μB per cell
Total DFT energy (no corrections): -19.3 eV per cell
Symmetry: No. 216

```
data_NaEuGaAu
_symmetry_space_group_name_H-M 'P 1'
_symmetry_Int_Tables_number 1
_symmetry_space_group_name_Hall 'P 1'
_cell_length_a 5.1538
_cell_length_b 5.1538
_cell_length_c 5.1538
_cell_angle_alpha 60.00
_cell_angle_beta 60.00
_cell_angle_gamma 60.00
loop_
_atom_site_label
_atom_site_type_symbol
_atom_site_fract_x
_atom_site_fract_y
_atom_site_fract_z
_atom_site_occupancy
Eu1 Eu 0.0000 0.0000 0.0000 1
Na1 Na 0.5000 0.5000 0.5000 1
Au1 Au 0.7500 0.7500 0.7500 1
Ga1 Ga 0.2500 0.2500 0.2500 1
```

***

2.
Computed, not measured: crystalline NdEuGaAu at its relaxed geometry at the PBE level of DFT.

Calculated values
Magnetic moment: 6.850 μB per cell
Total DFT energy (no corrections): -23.8 eV per cell
Symmetry: No. 216

```
data_NdEuGaAu
_symmetry_space_group_name_H-M 'P 1'
_symmetry_Int_Tables_number 1
_symmetry_space_group_name_Hall 'P 1'
_cell_length_a 5.2799
_cell_length_b 5.2799
_cell_length_c 5.2799
_cell_angle_alpha 60.00
_cell_angle_beta 60.00
_cell_angle_gamma 60.00
loop_
_atom_site_label
_atom_site_type_symbol
_atom_site_fract_x
_atom_site_fract_y
_atom_site_fract_z
_atom_site_occupancy
Eu1 Eu 0.0000 0.0000 0.0000 1
Nd1 Nd 0.5000 0.5000 0.5000 1
Au1 Au 0.2500 0.2500 0.2500 1
Ga1 Ga 0.7500 0.7500 0.7500 1
```

***

3.
Computed, not measured: crystalline EuGaPbAu at its relaxed geometry at the PBE level of DFT.

Calculated values
Magnetic moment: 7.192 μB per cell
Total DFT energy (no corrections): -22.0 eV per cell
Symmetry: No. 216

```
data_EuGaPbAu
_symmetry_space_group_name_H-M 'P 1'
_symmetry_Int_Tables_number 1
_symmetry_space_group_name_Hall 'P 1'
_cell_length_a 5.1765
_cell_length_b 5.1765
_cell_length_c 5.1765
_cell_angle_alpha 60.00
_cell_angle_beta 60.00
_cell_angle_gamma 60.00
loop_
_atom_site_label
_atom_site_type_symbol
_atom_site_fract_x
_atom_site_fract_y
_atom_site_fract_z
_atom_site_occupancy
Pb1 Pb 0.5000 0.5000 0.5000 1
Eu1 Eu 0.0000 0.0000 0.0000 1
Au1 Au 0.7500 0.7500 0.7500 1
Ga1 Ga 0.2500 0.2500 0.2500 1
```

***

4.
Computed, not measured: crystalline PmEuGaAu at its relaxed geometry at the PBE level of DFT.

Calculated values
Magnetic moment: 6.829 μB per cell
Total DFT energy (no corrections): -23.8 eV per cell
Symmetry: No. 216

```
data_PmEuGaAu
_symmetry_space_group_name_H-M 'P 1'
_symmetry_Int_Tables_number 1
_symmetry_space_group_name_Hall 'P 1'
_cell_length_a 5.2590
_cell_length_b 5.2590
_cell_length_c 5.2590
_cell_angle_alpha 60.00
_cell_angle_beta 60.00
_cell_angle_gamma 60.00
loop_
_atom_site_label
_atom_site_type_symbol
_atom_site_fract_x
_atom_site_fract_y
_atom_site_fract_z
_atom_site_occupancy
Eu1 Eu 0.2500 0.2500 0.2500 1
Au1 Au 0.0000 0.0000 0.0000 1
Ga1 Ga 0.5000 0.5000 0.5000 1
Pm1 Pm 0.7500 0.7500 0.7500 1
```

***

5.
Computed, not measured: crystalline EuPuGaAu at its relaxed geometry at the PBE level of DFT.

Calculated values
Magnetic moment: 12.612 μB per cell
Total DFT energy (no corrections): -32.5 eV per cell
Symmetry: No. 216

```
data_EuPuGaAu
_symmetry_space_group_name_H-M 'P 1'
_symmetry_Int_Tables_number 1
_symmetry_space_group_name_Hall 'P 1'
_cell_length_a 5.2165
_cell_length_b 5.2165
_cell_length_c 5.2165
_cell_angle_alpha 60.00
_cell_angle_beta 60.00
_cell_angle_gamma 60.00
loop_
_atom_site_label
_atom_site_type_symbol
_atom_site_fract_x
_atom_site_fract_y
_atom_site_fract_z
_atom_site_occupancy
Eu1 Eu 0.7500 0.7500 0.7500 1
Au1 Au 0.0000 0.0000 0.0000 1
Ga1 Ga 0.5000 0.5000 0.5000 1
Pu1 Pu 0.2500 0.2500 0.2500 1
```

***

6.
Computed, not measured: crystalline EuTmGaAu at its relaxed geometry at the PBE level of DFT.

Calculated values
Magnetic moment: 6.826 μB per cell
Total DFT energy (no corrections): -23.5 eV per cell
Symmetry: No. 216

```
data_EuTmGaAu
_symmetry_space_group_name_H-M 'P 1'
_symmetry_Int_Tables_number 1
_symmetry_space_group_name_Hall 'P 1'
_cell_length_a 5.1520
_cell_length_b 5.1520
_cell_length_c 5.1520
_cell_angle_alpha 60.00
_cell_angle_beta 60.00
_cell_angle_gamma 60.00
loop_
_atom_site_label
_atom_site_type_symbol
_atom_site_fract_x
_atom_site_fract_y
_atom_site_fract_z
_atom_site_occupancy
Eu1 Eu 0.0000 0.0000 0.0000 1
Tm1 Tm 0.5000 0.5000 0.5000 1
Au1 Au 0.7500 0.7500 0.7500 1
Ga1 Ga 0.2500 0.2500 0.2500 1
```